Record 1
DFT (PBE) results for a relaxed structure of LaNdSbSe.

Output
space-group type	P4/mmm, No. 123
energy relative to the elements, uncorrected	-1.552	eV per atom

Lattice parameters (Å, degrees): 4.457 4.457 6.246 90.00 90.00 90.00
Fractional positions:
La (0.000, 0.000, 0.000)
Nd (0.500, 0.500, 0.500)
Sb (0.500, 0.500, 0.000)
Se (0.000, 0.000, 0.500)

---

Record 2
DFT (PBE) results for a relaxed structure of LaNd2SmSb4.

Output
space-group type	P2/m, No. 10
energy relative to the elements, uncorrected	-1.205	eV per atom

Lattice parameters (Å, degrees): 7.857 4.542 7.858 90.00 109.46 90.00
Fractional positions:
La (0.000, 0.000, 0.000)
Nd (0.000, 0.500, 0.500)
Nd (0.500, 0.000, 0.500)
Sm (0.500, 0.500, 0.000)
Sb (0.254, 0.000, 0.751)
Sb (0.254, 0.500, 0.252)
Sb (0.746, 0.000, 0.249)
Sb (0.746, 0.500, 0.748)

---

Record 3
DFT (PBE) results for a relaxed structure of La2NdSmSb4.

Output
space-group type	P2/m, No. 10
energy relative to the elements, uncorrected	-1.229	eV per atom

Lattice parameters (Å, degrees): 7.900 4.565 7.902 90.00 109.48 90.00
Fractional positions:
La (0.000, 0.000, 0.000)
La (0.000, 0.500, 0.500)
Nd (0.500, 0.000, 0.500)
Sm (0.500, 0.500, 0.000)
Sb (0.255, 0.500, 0.250)
Sb (0.257, 0.000, 0.754)
Sb (0.743, 0.000, 0.246)
Sb (0.745, 0.500, 0.750)

---

Record 4
DFT (PBE) results for a relaxed structure of LaTbNd2Sb4.

Output
space-group type	P2/m, No. 10
energy relative to the elements, uncorrected	-1.193	eV per atom

Lattice parameters (Å, degrees): 7.827 4.525 7.833 90.00 109.46 90.00
Fractional positions:
La (0.000, 0.000, 0.000)
Tb (0.500, 0.500, 0.000)
Nd (0.000, 0.500, 0.500)
Nd (0.500, 0.000, 0.500)
Sb (0.256, 0.500, 0.250)
Sb (0.257, 0.000, 0.754)
Sb (0.743, 0.000, 0.246)
Sb (0.744, 0.500, 0.750)

---

Record 5
DFT (PBE) results for a relaxed structure of LaNd2Th3Sb6.

Output
space-group type	C2/m, No. 12
energy relative to the elements, uncorrected	-1.077	eV per atom

Lattice parameters (Å, degrees): 7.847 7.847 7.842 99.61 99.61 119.91
Fractional positions:
La (0.000, 0.000, 0.000)
Nd (0.333, 0.667, 0.000)
Nd (0.667, 0.333, 0.000)
Th (0.166, 0.834, 0.500)
Th (0.500, 0.500, 0.500)
Th (0.834, 0.166, 0.500)
Sb (0.085, 0.420, 0.254)
Sb (0.252, 0.252, 0.748)
Sb (0.420, 0.085, 0.254)
Sb (0.580, 0.915, 0.746)
Sb (0.748, 0.748, 0.252)
Sb (0.915, 0.580, 0.746)

---

Record 6
DFT (PBE) results for a relaxed structure of La2NdTh3Sb6.

Output
space-group type	C2/m, No. 12
energy relative to the elements, uncorrected	-1.093	eV per atom

Lattice parameters (Å, degrees): 10.178 10.178 9.094 103.12 103.12 25.80
Fractional positions:
La (0.166, 0.166, 0.332)
La (0.834, 0.834, 0.668)
Nd (0.500, 0.500, 0.000)
Th (0.167, 0.167, 0.834)
Th (0.500, 0.500, 0.500)
Th (0.833, 0.833, 0.166)
Sb (0.002, 0.002, 0.750)
Sb (0.333, 0.333, 0.921)
Sb (0.335, 0.335, 0.413)
Sb (0.665, 0.665, 0.587)
Sb (0.667, 0.667, 0.079)
Sb (0.998, 0.998, 0.250)

---

Record 7
DFT (PBE) results for a relaxed structure of LaNd2TmSb4.

Output
space-group type	P2/m, No. 10
energy relative to the elements, uncorrected	-1.166	eV per atom

Lattice parameters (Å, degrees): 7.796 4.512 7.809 90.00 109.47 90.00
Fractional positions:
La (0.000, 0.000, 0.000)
Nd (0.000, 0.500, 0.500)
Nd (0.500, 0.000, 0.500)
Tm (0.500, 0.500, 0.000)
Sb (0.257, 0.500, 0.249)
Sb (0.260, 0.000, 0.757)
Sb (0.740, 0.000, 0.243)
Sb (0.743, 0.500, 0.751)

---

Record 8
DFT (PBE) results for a relaxed structure of LaNdZnSb.

Output
space-group type	F-43m, No. 216
energy relative to the elements, uncorrected	-0.611	eV per atom

Lattice parameters (Å, degrees): 5.408 5.408 5.408 60.00 60.00 60.00
Fractional positions:
La (0.000, 0.000, 0.000)
Nd (0.500, 0.500, 0.500)
Zn (0.750, 0.750, 0.750)
Sb (0.250, 0.250, 0.250)

---

Record 9
DFT (PBE) results for a relaxed structure of La5Nd4Sc2.

Output
space-group type	C2/m, No. 12
ΔE_f	105	meV per atom

Lattice parameters (Å, degrees): 12.234 12.234 8.773 94.55 94.55 16.78
Fractional positions:
La (0.000, 0.000, 0.000)
La (0.321, 0.321, 0.521)
La (0.369, 0.369, 0.961)
La (0.631, 0.631, 0.039)
La (0.679, 0.679, 0.479)
Nd (0.227, 0.227, 0.823)
Nd (0.462, 0.462, 0.650)
Nd (0.538, 0.538, 0.350)
Nd (0.773, 0.773, 0.177)
Sc (0.086, 0.086, 0.696)
Sc (0.914, 0.914, 0.304)

---

Record 10
DFT (PBE) results for a relaxed structure of La7Nd4Sc.

Output
space-group type	P1, No. 1
ΔE_f	26	meV per atom

Lattice parameters (Å, degrees): 6.374 7.316 9.728 100.61 96.10 106.77
Fractional positions:
La (0.000, 0.000, 0.000)
La (0.000, 0.168, 0.664)
La (0.006, 0.507, 0.996)
La (0.495, 0.754, 0.490)
La (0.496, 0.419, 0.163)
La (0.501, 0.084, 0.836)
La (0.995, 0.837, 0.324)
Nd (0.495, 0.247, 0.493)
Nd (0.499, 0.590, 0.832)
Nd (0.985, 0.329, 0.327)
Nd (0.993, 0.668, 0.659)
Sc (0.500, 0.919, 0.164)

---

Record 11
DFT (PBE) results for a relaxed structure of La8Nd6Sc.

Output
space-group type	P-3, No. 147
ΔE_f	142	meV per atom

Lattice parameters (Å, degrees): 9.556 9.556 6.724 90.00 90.00 120.00
Fractional positions:
La (0.042, 0.763, 0.178)
La (0.237, 0.280, 0.178)
La (0.280, 0.042, 0.822)
La (0.333, 0.667, 0.125)
La (0.667, 0.333, 0.875)
La (0.720, 0.958, 0.178)
La (0.763, 0.720, 0.822)
La (0.958, 0.237, 0.822)
Nd (0.094, 0.656, 0.661)
Nd (0.344, 0.438, 0.661)
Nd (0.438, 0.094, 0.339)
Nd (0.562, 0.906, 0.661)
Nd (0.656, 0.562, 0.339)
Nd (0.906, 0.344, 0.339)
Sc (0.000, 0.000, 0.500)

---

Record 12
DFT (PBE) results for a relaxed structure of La4NdSc2.

Output
space-group type	C2/c, No. 15
ΔE_f	200	meV per atom

Lattice parameters (Å, degrees): 8.022 8.022 16.865 90.90 90.90 154.05
Fractional positions:
La (0.107, 0.743, 0.924)
La (0.257, 0.893, 0.576)
La (0.295, 0.400, 0.580)
La (0.400, 0.295, 0.080)
La (0.600, 0.705, 0.920)
La (0.705, 0.600, 0.420)
La (0.743, 0.107, 0.424)
La (0.893, 0.257, 0.076)
Nd (0.312, 0.688, 0.750)
Nd (0.688, 0.312, 0.250)
Sc (0.013, 0.987, 0.250)
Sc (0.362, 0.638, 0.250)
Sc (0.638, 0.362, 0.750)
Sc (0.987, 0.013, 0.750)

---

Record 13
DFT (PBE) results for a relaxed structure of La2Nd7Sc.

Output
space-group type	Cmmm, No. 65
ΔE_f	161	meV per atom

Lattice parameters (Å, degrees): 15.055 15.055 3.487 90.00 90.00 153.91
Fractional positions:
La (0.203, 0.797, 0.000)
La (0.797, 0.203, 0.000)
Nd (0.000, 0.000, 0.000)
Nd (0.166, 0.357, 0.000)
Nd (0.312, 0.688, 0.500)
Nd (0.357, 0.166, 0.000)
Nd (0.643, 0.834, 0.000)
Nd (0.688, 0.312, 0.500)
Nd (0.834, 0.643, 0.000)
Sc (0.500, 0.500, 0.500)

---

Record 14
DFT (PBE) results for a relaxed structure of La3Nd12Sc.

Output
space-group type	P4/mmm, No. 123
ΔE_f	23	meV per atom

Lattice parameters (Å, degrees): 5.189 5.189 20.713 90.00 90.00 90.00
Fractional positions:
La (0.000, 0.000, 0.000)
La (0.000, 0.000, 0.254)
La (0.000, 0.000, 0.746)
Nd (0.000, 0.500, 0.127)
Nd (0.000, 0.500, 0.381)
Nd (0.000, 0.500, 0.619)
Nd (0.000, 0.500, 0.873)
Nd (0.500, 0.000, 0.127)
Nd (0.500, 0.000, 0.381)
Nd (0.500, 0.000, 0.619)
Nd (0.500, 0.000, 0.873)
Nd (0.500, 0.500, 0.000)
Nd (0.500, 0.500, 0.255)
Nd (0.500, 0.500, 0.500)
Nd (0.500, 0.500, 0.745)
Sc (0.000, 0.000, 0.500)

---

Record 15
DFT (PBE) results for a relaxed structure of La2Nd6Sc.

Output
E above lowest polymorph	0.1354	eV/atom
space-group type	Cmmm, No. 65
ΔE_f	212	meV per atom

Lattice parameters (Å, degrees): 8.414 8.414 5.499 90.00 90.00 124.74
Fractional positions:
La (0.229, 0.771, 0.000)
La (0.771, 0.229, 0.000)
Nd (0.143, 0.425, 0.500)
Nd (0.262, 0.262, 0.000)
Nd (0.425, 0.143, 0.500)
Nd (0.575, 0.857, 0.500)
Nd (0.738, 0.738, 0.000)
Nd (0.857, 0.575, 0.500)
Sc (0.000, 0.000, 0.500)

---

Record 16
DFT (PBE) results for a relaxed structure of LaNdSc2.

Output
E above lowest polymorph	0.0176	eV/atom
space-group type	Fm-3m, No. 225
ΔE_f	71	meV per atom

Lattice parameters (Å, degrees): 5.540 5.540 5.540 60.00 60.00 60.00
Fractional positions:
La (0.000, 0.000, 0.000)
Nd (0.500, 0.500, 0.500)
Sc (0.250, 0.250, 0.250)
Sc (0.750, 0.750, 0.750)

---

Record 17
DFT (PBE) results for a relaxed structure of La8NdSc2.

Output
space-group type	Immm, No. 71
ΔE_f	110	meV per atom

Lattice parameters (Å, degrees): 9.470 9.470 9.470 145.75 125.89 65.61
Fractional positions:
La (0.156, 0.355, 0.801)
La (0.159, 0.159, 0.000)
La (0.304, 0.000, 0.304)
La (0.446, 0.645, 0.801)
La (0.554, 0.355, 0.199)
La (0.696, 0.000, 0.696)
La (0.841, 0.841, 0.000)
La (0.844, 0.645, 0.199)
Nd (0.000, 0.500, 0.500)
Sc (0.298, 0.798, 0.500)
Sc (0.702, 0.202, 0.500)

---

Record 18
DFT (PBE) results for a relaxed structure of LaNd6Sc2.

Output
E above lowest polymorph	0.0000	eV/atom
space-group type	C2/m, No. 12
ΔE_f	126	meV per atom

Lattice parameters (Å, degrees): 10.029 10.029 3.653 94.29 94.29 125.57
Fractional positions:
La (0.000, 0.000, 0.000)
Nd (0.155, 0.498, 0.187)
Nd (0.335, 0.335, 0.687)
Nd (0.498, 0.155, 0.187)
Nd (0.502, 0.845, 0.813)
Nd (0.665, 0.665, 0.313)
Nd (0.845, 0.502, 0.813)
Sc (0.166, 0.834, 0.500)
Sc (0.834, 0.166, 0.500)

---

Record 19
DFT (PBE) results for a relaxed structure of LaNd2Sc.

Output
E above lowest polymorph	0.1209	eV/atom
space-group type	Fm-3m, No. 225
ΔE_f	161	meV per atom

Lattice parameters (Å, degrees): 5.714 5.714 5.714 60.00 60.00 60.00
Fractional positions:
La (0.000, 0.000, 0.000)
Nd (0.250, 0.250, 0.250)
Nd (0.750, 0.750, 0.750)
Sc (0.500, 0.500, 0.500)

---

Record 20
DFT (PBE) results for a relaxed structure of LaNd7Sc2.

Output
E above lowest polymorph	0.5387	eV/atom
space-group type	Cmmm, No. 65
ΔE_f	585	meV per atom

Lattice parameters (Å, degrees): 8.966 8.966 5.700 90.00 90.00 119.60
Fractional positions:
La (0.000, 0.000, 0.000)
Nd (0.060, 0.306, 0.500)
Nd (0.253, 0.747, 0.000)
Nd (0.306, 0.060, 0.500)
Nd (0.500, 0.500, 0.500)
Nd (0.694, 0.940, 0.500)
Nd (0.747, 0.253, 0.000)
Nd (0.940, 0.694, 0.500)
Sc (0.298, 0.702, 0.500)
Sc (0.702, 0.298, 0.500)

---

| no. | energy (eV per atom) |
| --- | --- |
| 1 | -5.88 |
| 2 | -5.66 |
| 3 | -5.71 |
| 4 | -5.64 |
| 5 | -6.20 |
| 6 | -6.23 |
| 7 | -5.59 |
| 8 | -4.38 |
| 9 | -5.02 |
| 10 | -4.97 |
| 11 | -4.81 |
| 12 | -5.11 |
| 13 | -4.80 |
| 14 | -4.87 |
| 15 | -4.77 |
| 16 | -5.52 |
| 17 | -5.06 |
| 18 | -5.01 |
| 19 | -5.04 |
| 20 | -4.51 |